(1)
# NiIr9Ru2, relaxed, DFT GGA-PBE
data_NiIr9Ru2
_space_group_name_H-M_alt 'P 4/m m m'
_space_group_IT_number 123
_space_group_name_Hall '-P 4 2'
_cell_length_a 3.840
_cell_length_b 3.840
_cell_length_c 11.548
_cell_angle_alpha 90.00
_cell_angle_beta 90.00
_cell_angle_gamma 90.00
loop_
_atom_site_label
_atom_site_fract_x
_atom_site_fract_y
_atom_site_fract_z
Ni1 0.000 0.000 0.000
Ir1 0.000 0.500 0.166
Ir2 0.000 0.500 0.500
Ir3 0.500 0.500 0.000
Ir4 0.500 0.500 0.334
Ru1 0.000 0.000 0.328
# **Calculated formation energy**: -20 meV/atom


(2)
# Ni2IrRu, relaxed, DFT GGA-PBE
data_Ni2IrRu
_space_group_name_H-M_alt 'C m m m'
_space_group_IT_number 65
_space_group_name_Hall '-C 2 2'
_cell_length_a 2.699
_cell_length_b 4.453
_cell_length_c 8.697
_cell_angle_alpha 90.00
_cell_angle_beta 90.00
_cell_angle_gamma 90.00
loop_
_atom_site_label
_atom_site_fract_x
_atom_site_fract_y
_atom_site_fract_z
Ni1 0.000 0.000 0.248
Ir1 0.000 0.500 0.500
Ru1 0.000 0.500 0.000
# **Calculated formation energy**: 289 meV/atom
# **Offset from the most stable computed form**: 27.97 kJ/mol of atoms